DFT (PBE) results for a geometry-optimized Pr6CuI8 structure.

Computed properties:
volume: 606 Å³ per cell
M_tot: 0.0 Bohr magnetons per cell
space-group type: R-3
mass density: 5.3 g/cm³
formation energy without anion corrections: -1.0591 eV per atom

Cell: 12.467 12.467 12.467 Å, 36.24 36.24 36.24°
Positions (direct):
Pr 0.151 0.450 0.749
Pr 0.251 0.849 0.550
Pr 0.450 0.749 0.151
Pr 0.550 0.251 0.849
Pr 0.749 0.151 0.450
Pr 0.849 0.550 0.251
Cu 0.500 0.500 0.500
I 0.045 0.742 0.393
I 0.167 0.167 0.167
I 0.258 0.607 0.955
I 0.393 0.045 0.742
I 0.607 0.955 0.258
I 0.742 0.393 0.045
I 0.833 0.833 0.833
I 0.955 0.258 0.607